Version P
GGA-PBE YHoScCd, optimized geometry; total magnetic moment = 0.032 μB per atom; calculated volume = 26.85 Å³ per atom
1.0
7.546 0.000 0.000
0.000 7.546 0.000
0.000 0.000 7.546
Y Ho Sc Cd
4 4 4 4
Cartesian
0.000 0.000 0.000
0.000 3.773 3.773
3.773 0.000 3.773
3.773 3.773 0.000
0.000 0.000 3.773
0.000 3.773 0.000
3.773 0.000 0.000
3.773 3.773 3.773
1.886 1.886 5.659
1.886 5.659 1.886
5.659 1.886 1.886
5.659 5.659 5.659
1.886 1.886 1.886
1.886 5.659 5.659
5.659 1.886 5.659
5.659 5.659 1.886


Version Q
GGA-PBE YHoScCd, optimized geometry; total magnetic moment = 0.000 μB per atom; calculated volume = 27.30 Å³ per atom
1.0
3.563 0.000 0.000
0.000 3.563 0.000
0.000 0.000 8.601
Y Ho Sc Cd
1 1 1 1
Cartesian
0.000 0.000 0.000
0.000 0.000 4.446
1.782 1.782 2.246
1.782 1.782 6.509


Of the structures shown above, version P is the least stable.